Computed, not measured: an optimized crystal structure of BaZnCdP2 at the PBE-GGA level of DFT.

The calculation puts the electronic total energy at -3.50 eV per atom. For the total magnetization, the calculation gives 0.00 μB per formula unit. The calculation puts the calculated density at 4.61 g/cm3.

It has space group P2/c (No. 13), with a = 7.086 Å, b = 5.293 Å, c = 7.435 Å, α = 90.00°, β = 103.02° and γ = 90.00°. Symmetry generates all atoms from Ba at (0.000, 0.229, 0.250), Zn at (0.500, 0.000, 0.000), Cd at (0.500, 0.498, 0.750) and P at (0.262, 0.282, 0.946).